Here is an optimized crystal structure of Ge2MoI from Alexandria via LeMat-Bulk. Energies are from GGA-PBE.

The value obtained for the formation energy from raw total energies is 1.070 eV/atom. The raw total energy is -17.3 eV/f.u. Its energy above the most stable polymorph in this dataset is 321 meV per atom. The density is 7.8 g cm⁻³.

The structure belongs to space group Fm-3m (No. 225); the cell edges are 6.805, 6.805 and 6.805 Å and the angles 90.00°, 90.00° and 90.00°. The distinct sites, in fractional coordinates, are Ge at (0.250, 0.250, 0.250), Mo at (0.000, 0.000, 0.000) and I at (0.000, 0.000, 0.500).



Here is an optimized crystal structure of Ge2MoI4 from Alexandria via LeMat-Bulk. Energies are from GGA-PBE.

The value obtained for the formation energy from raw total energies is 0.358 eV/atom. The raw total energy is -23.8 eV/f.u. The density is 4.5 g cm⁻³.

The structure belongs to space group I4/mmm (No. 139); the cell edges are 5.862, 5.862 and 16.210 Å and the angles 90.00°, 90.00° and 90.00°. The distinct sites, in fractional coordinates, are Ge at (0.000, 0.000, 0.079), Mo at (0.000, 0.000, 0.500), I at (0.000, 0.000, 0.331) and I at (0.000, 0.500, 0.000).



Here is an optimized crystal structure of GeMo2I from Alexandria via LeMat-Bulk. Energies are from GGA-PBE.

The value obtained for the formation energy from raw total energies is 0.933 eV/atom. The raw total energy is -24.1 eV/f.u. Its energy above the most stable polymorph in this dataset is 288 meV per atom. The density is 7.6 g cm⁻³.

The structure belongs to space group I-42d (No. 122); the cell edges are 4.487, 4.487 and 17.051 Å and the angles 90.00°, 90.00° and 90.00°. The distinct sites, in fractional coordinates, are Ge at (0.000, 0.000, 0.000), Mo at (0.170, 0.250, 0.125) and I at (0.000, 0.000, 0.500).



Here is an optimized crystal structure of GeMoI2 from Alexandria via LeMat-Bulk. Energies are from GGA-PBE.

The value obtained for the formation energy from raw total energies is 1.019 eV/atom. The raw total energy is -14.5 eV/f.u. Its energy above the most stable polymorph in this dataset is 126 meV per atom. The density is 5.3 g cm⁻³.

The structure belongs to space group I-42d (No. 122); the cell edges are 7.083, 7.083 and 10.531 Å and the angles 90.00°, 90.00° and 90.00°. The distinct sites, in fractional coordinates, are Ge at (0.000, 0.000, 0.000), Mo at (0.000, 0.000, 0.500) and I at (0.204, 0.250, 0.625).



Here is an optimized crystal structure of GeMo2I from Alexandria via LeMat-Bulk. Energies are from GGA-PBE.

The value obtained for the formation energy from raw total energies is 0.645 eV/atom. The raw total energy is -25.3 eV/f.u. Its energy above the most stable polymorph in this dataset is 0 meV per atom. The density is 9.5 g cm⁻³.

The structure belongs to space group Fm-3m (No. 225); the cell edges are 6.488, 6.488 and 6.488 Å and the angles 90.00°, 90.00° and 90.00°. The distinct sites, in fractional coordinates, are Ge at (0.000, 0.000, 0.000), Mo at (0.250, 0.250, 0.250) and I at (0.000, 0.000, 0.500).



Here is an optimized crystal structure of Ge3MoI from Alexandria via LeMat-Bulk. Energies are from GGA-PBE.

The value obtained for the formation energy from raw total energies is 0.298 eV/atom. The raw total energy is -24.7 eV/f.u. Its energy above the most stable polymorph in this dataset is 0 meV per atom. The density is 5.8 g cm⁻³.

The structure belongs to space group Pm-3m (No. 221); the cell edges are 5.006, 5.006 and 5.006 Å and the angles 90.00°, 90.00° and 90.00°. The distinct sites, in fractional coordinates, are Ge at (0.000, 0.000, 0.500), Mo at (0.000, 0.000, 0.000) and I at (0.500, 0.500, 0.500).



What did the third record say?
Here is an optimized crystal structure of GeMo2I from Alexandria via LeMat-Bulk. Energies are from GGA-PBE.

The value obtained for the formation energy from raw total energies is 0.933 eV/atom. The raw total energy is -24.1 eV/f.u. Its energy above the most stable polymorph in this dataset is 288 meV per atom. The density is 7.6 g cm⁻³.

The structure belongs to space group I-42d (No. 122); the cell edges are 4.487, 4.487 and 17.051 Å and the angles 90.00°, 90.00° and 90.00°. The distinct sites, in fractional coordinates, are Ge at (0.000, 0.000, 0.000), Mo at (0.170, 0.250, 0.125) and I at (0.000, 0.000, 0.500).



Among the records above, which one has the highest formation energy from raw total energies? Ge2MoI



Which of these has the lowest raw total energy? number 5